Entry P
Entry from Alexandria: crystalline SmZnCuNi at its relaxed geometry (PBE).

It has space group Cm (No. 8), with a = 7.326 Å, b = 4.237 Å, c = 5.219 Å, α = 90.00°, β = 118.10° and γ = 90.00°. Symmetry generates all atoms from Sm at (0.000, 0.000, 0.000), Zn at (0.008, 0.500, 0.526), Cu at (0.296, 0.500, 0.389) and Ni at (0.203, 0.000, 0.609).

Entry Q
Entry from Alexandria: crystalline SmZnCuNi at its relaxed geometry (PBE).

It has space group F-43m (No. 216), with a = 6.490 Å, b = 6.490 Å, c = 6.490 Å, α = 90.00°, β = 90.00° and γ = 90.00°. Symmetry generates all atoms from Sm at (0.000, 0.000, 0.000), Zn at (0.000, 0.000, 0.500), Cu at (0.250, 0.250, 0.750) and Ni at (0.250, 0.250, 0.250).

According to the calculations, the structures order from most to least stable as entry P, entry Q.

Entry P
Entry from Alexandria: crystalline CuNi2Sn2 at its relaxed geometry (PBE).

It has space group I4/mmm (No. 139), with a = 4.310 Å, b = 4.310 Å, c = 10.018 Å, α = 90.00°, β = 90.00° and γ = 90.00°. Symmetry generates all atoms from Cu at (0.000, 0.000, 0.000), Ni at (0.000, 0.000, 0.387) and Sn at (0.000, 0.500, 0.250).

Entry Q
Entry from Alexandria: crystalline CuNi2Sn2 at its relaxed geometry (PBE).

It has space group P4/mbm (No. 127), with a = 6.701 Å, b = 6.701 Å, c = 3.559 Å, α = 90.00°, β = 90.00° and γ = 90.00°. Symmetry generates all atoms from Cu at (0.000, 0.000, 0.000), Ni at (0.134, 0.366, 0.000) and Sn at (0.168, 0.668, 0.500).

According to the calculations, the structures order from most to least stable as entry Q, entry P.

Entry P
Entry from Alexandria: crystalline CuNiSn2 at its relaxed geometry (PBE).

It has space group I-42d (No. 122), with a = 6.950 Å, b = 6.950 Å, c = 6.699 Å, α = 90.00°, β = 90.00° and γ = 90.00°. Symmetry generates all atoms from Cu at (0.000, 0.000, 0.000), Ni at (0.000, 0.000, 0.500) and Sn at (0.240, 0.250, 0.625).

Entry Q
Entry from Alexandria: crystalline CuNiSn2 at its relaxed geometry (PBE).

It has space group Fm-3m (No. 225), with a = 6.581 Å, b = 6.581 Å, c = 6.581 Å, α = 90.00°, β = 90.00° and γ = 90.00°. Symmetry generates all atoms from Cu at (0.000, 0.000, 0.000), Ni at (0.000, 0.000, 0.500) and Sn at (0.250, 0.250, 0.250).

Entry R
Entry from Alexandria: crystalline CuNiSn2 at its relaxed geometry (PBE).

It has space group P2_1/m (No. 11), with a = 5.194 Å, b = 4.081 Å, c = 7.091 Å, α = 90.00°, β = 110.54° and γ = 90.00°. Symmetry generates all atoms from Cu at (0.170, 0.250, 0.283), Ni at (0.145, 0.250, 0.794), Sn at (0.270, 0.750, 0.574) and Sn at (0.298, 0.750, 0.067).

Entry S
Entry from Alexandria: crystalline CuNiSn2 at its relaxed geometry (PBE).

It has space group R-3m (No. 166, hexagonal axes), with a = 3.2563 Å, b = 3.2563 Å, c = 26.3192 Å, α = 90.00°, β = 90.00° and γ = 120.00°. Symmetry generates all atoms from Cu at (0.0000, 0.0000, 0.0000), Ni at (0.0000, 0.0000, 0.5000) and Sn at (0.0000, 0.0000, 0.0961).

According to the calculations, the structures order from most to least stable as entry R, entry Q, entry S, entry P.

Entry P
Entry from Alexandria: crystalline CuNi3Sn at its relaxed geometry (PBE).

It has space group P6_3/mmc (No. 194), with a = 5.9722 Å, b = 5.9722 Å, c = 4.5582 Å, α = 90.00°, β = 90.00° and γ = 120.00°. Symmetry generates all atoms from Cu at (0.0000, 0.0000, 0.0000), Ni at (0.1992, 0.3985, 0.2500) and Sn at (0.3333, 0.6667, 0.7500).

Entry Q
Entry from Alexandria: crystalline CuNi3Sn at its relaxed geometry (PBE).

It has space group Pm-3m (No. 221), with a = 4.308 Å, b = 4.308 Å, c = 4.308 Å, α = 90.00°, β = 90.00° and γ = 90.00°. Symmetry generates all atoms from Cu at (0.000, 0.000, 0.000), Ni at (0.000, 0.000, 0.500) and Sn at (0.500, 0.500, 0.500).

According to the calculations, the structures order from most to least stable as entry P, entry Q.

Entry P
Entry from Alexandria: crystalline Cu2Ni5Sn at its relaxed geometry (PBE).

It has space group I4/mmm (No. 139), with a = 3.750 Å, b = 3.750 Å, c = 13.831 Å, α = 90.00°, β = 90.00° and γ = 90.00°. Symmetry generates all atoms from Cu at (0.000, 0.000, 0.249), Ni at (0.000, 0.000, 0.000), Ni at (0.000, 0.500, 0.131) and Sn at (0.000, 0.000, 0.500).

Entry Q
Entry from Alexandria: crystalline Cu2Ni5Sn at its relaxed geometry (PBE).

It has space group I4/mcm (No. 140), with a = 6.283 Å, b = 6.283 Å, c = 10.278 Å, α = 90.00°, β = 90.00° and γ = 90.00°. Symmetry generates all atoms from Cu at (0.146, 0.354, 0.000), Ni at (0.000, 0.000, 0.000), Ni at (0.143, 0.357, 0.339) and Sn at (0.000, 0.000, 0.250).

According to the calculations, the structures order from most to least stable as entry P, entry Q.

Entry P
Entry from Alexandria: crystalline SrCuNi at its relaxed geometry (PBE).

It has space group I4mm (No. 107), with a = 3.411 Å, b = 3.411 Å, c = 10.231 Å, α = 90.00°, β = 90.00° and γ = 90.00°. Symmetry generates all atoms from Sr at (0.000, 0.000, 0.000), Cu at (0.000, 0.000, 0.716) and Ni at (0.000, 0.000, 0.286).

Entry Q
Entry from Alexandria: crystalline SrCuNi at its relaxed geometry (PBE).

It has space group P4/nmm (No. 129, origin choice 2), with a = 4.269 Å, b = 4.269 Å, c = 7.183 Å, α = 90.00°, β = 90.00° and γ = 90.00°. Symmetry generates all atoms from Sr at (0.250, 0.250, 0.195), Cu at (0.250, 0.250, 0.668) and Ni at (0.250, 0.750, 0.500).

Entry R
Entry from Alexandria: crystalline SrCuNi at its relaxed geometry (PBE).

It has space group F-43m (No. 216), with a = 6.457 Å, b = 6.457 Å, c = 6.457 Å, α = 90.00°, β = 90.00° and γ = 90.00°. Symmetry generates all atoms from Sr at (0.000, 0.000, 0.000), Cu at (0.000, 0.000, 0.500) and Ni at (0.250, 0.250, 0.250).

Entry S
Entry from Alexandria: crystalline SrCuNi at its relaxed geometry (PBE).

It has space group F-43m (No. 216), with a = 6.760 Å, b = 6.760 Å, c = 6.760 Å, α = 90.00°, β = 90.00° and γ = 90.00°. Symmetry generates all atoms from Sr at (0.000, 0.000, 0.000), Cu at (0.250, 0.250, 0.250) and Ni at (0.250, 0.250, 0.750).

According to the calculations, the structures order from most to least stable as entry Q, entry P, entry R, entry S.

Entry P
Entry from Alexandria: crystalline TaCuNi at its relaxed geometry (PBE).

It has space group F-43m (No. 216), with a = 5.701 Å, b = 5.701 Å, c = 5.701 Å, α = 90.00°, β = 90.00° and γ = 90.00°. Symmetry generates all atoms from Ta at (0.000, 0.000, 0.000), Cu at (0.000, 0.000, 0.500) and Ni at (0.250, 0.250, 0.750).

Entry Q
Entry from Alexandria: crystalline TaCuNi at its relaxed geometry (PBE).

It has space group F-43m (No. 216), with a = 5.836 Å, b = 5.836 Å, c = 5.836 Å, α = 90.00°, β = 90.00° and γ = 90.00°. Symmetry generates all atoms from Ta at (0.000, 0.000, 0.000), Cu at (0.250, 0.250, 0.250) and Ni at (0.250, 0.250, 0.750).

Entry R
Entry from Alexandria: crystalline TaCuNi at its relaxed geometry (PBE).

It has space group P-6m2 (No. 187), with a = 4.1994 Å, b = 4.1994 Å, c = 2.6506 Å, α = 90.00°, β = 90.00° and γ = 120.00°. Symmetry generates all atoms from Ta at (0.0000, 0.0000, 0.0000), Cu at (0.6667, 0.3333, 0.5000) and Ni at (0.3333, 0.6667, 0.5000).

Entry S
Entry from Alexandria: crystalline TaCuNi at its relaxed geometry (PBE).

It has space group P3m1 (No. 156), with a = 2.7827 Å, b = 2.7827 Å, c = 6.3499 Å, α = 90.00°, β = 90.00° and γ = 120.00°. Symmetry generates all atoms from Ta at (0.0000, 0.0000, 0.0000), Cu at (0.6667, 0.3333, 0.3574) and Ni at (0.3333, 0.6667, 0.6681).

According to the calculations, the structures order from most to least stable as entry R, entry S, entry P, entry Q.

Entry P
Entry from Alexandria: crystalline TaCuNi at its relaxed geometry (PBE).

It has space group Imm2 (No. 44), with a = 2.765 Å, b = 3.674 Å, c = 8.012 Å, α = 90.00°, β = 90.00° and γ = 90.00°. Symmetry generates all atoms from Ta at (0.000, 0.000, 0.000), Cu at (0.000, 0.000, 0.326) and Ni at (0.000, 0.000, 0.670).

Entry Q
Entry from Alexandria: crystalline TaCuNi at its relaxed geometry (PBE).

It has space group Cmce (No. 64), with a = 7.146 Å, b = 6.306 Å, c = 8.570 Å, α = 90.00°, β = 90.00° and γ = 90.00°. Symmetry generates all atoms from Ta at (0.198, 0.000, 0.000), Cu at (0.000, 0.121, 0.276) and Ni at (0.000, 0.177, 0.554).

According to the calculations, the structures order from most to least stable as entry P, entry Q.

Entry P
Entry from Alexandria: crystalline TaCuNi6 at its relaxed geometry (PBE).

It has space group P-6m2 (No. 187), with a = 5.1402 Å, b = 5.1402 Å, c = 4.1160 Å, α = 90.00°, β = 90.00° and γ = 120.00°. Symmetry generates all atoms from Ta at (0.0000, 0.0000, 0.0000), Cu at (0.6667, 0.3333, 0.5000), Ni at (0.9995, 0.4998, 0.0000) and Ni at (0.1722, 0.3443, 0.5000).

Entry Q
Entry from Alexandria: crystalline TaCuNi6 at its relaxed geometry (PBE).

It has space group Cmmm (No. 65), with a = 7.200 Å, b = 10.226 Å, c = 10.223 Å, α = 90.00°, β = 90.00° and γ = 90.00°. Symmetry generates all atoms from Ta at (0.000, 0.000, 0.245), Ta at (0.000, 0.245, 0.500), Cu at (0.000, 0.246, 0.000), Cu at (0.000, 0.500, 0.246), Ni at (0.000, 0.000, 0.000), Ni at (0.000, 0.000, 0.500), Ni at (0.000, 0.250, 0.247), Ni at (0.000, 0.500, 0.000), Ni at (0.000, 0.500, 0.500), Ni at (0.246, 0.374, 0.123) and Ni at (0.246, 0.376, 0.373).

According to the calculations, the structures order from most to least stable as entry Q, entry P.

Entry P
Entry from Alexandria: crystalline Ta2CuNi2 at its relaxed geometry (PBE).

It has space group P4/mbm (No. 127), with a = 6.719 Å, b = 6.719 Å, c = 3.173 Å, α = 90.00°, β = 90.00° and γ = 90.00°. Symmetry generates all atoms from Ta at (0.175, 0.325, 0.000), Cu at (0.000, 0.000, 0.500) and Ni at (0.127, 0.627, 0.500).

Entry Q
Entry from Alexandria: crystalline Ta2CuNi2 at its relaxed geometry (PBE).

It has space group P4/mbm (No. 127), with a = 7.454 Å, b = 7.454 Å, c = 2.702 Å, α = 90.00°, β = 90.00° and γ = 90.00°. Symmetry generates all atoms from Ta at (0.165, 0.335, 0.000), Cu at (0.000, 0.000, 0.000) and Ni at (0.128, 0.628, 0.500).

According to the calculations, the structures order from most to least stable as entry P, entry Q.